# 1
SrIn2S4 | PBE-GGA | relaxed

a b c (Å): 15.0866 12.5782 12.5049
angles (deg): 73.95 53.25 52.80
With the nearest neighbours (Å) after each atom.
Atoms (fractional coordinates):
Sr: 0.1218 0.6282 0.1218  8 S 3.13-3.27
Sr: 0.1250 0.1250 0.1250  8 S 3.13-3.25
Sr: 0.3718 0.8782 0.3718  8 S 3.13-3.27
Sr: 0.3750 0.3750 0.3750  8 S 3.14-3.23
Sr: 0.6250 0.6250 0.6250  8 S 3.14-3.23
Sr: 0.6282 0.1218 0.6282  8 S 3.13-3.27
Sr: 0.8750 0.8750 0.8750  8 S 3.13-3.25
Sr: 0.8782 0.3718 0.8782  8 S 3.13-3.27
In: 0.0374 0.8555 0.4624  4 S 2.45-2.53
In: 0.1123 0.3623 0.3863  4 S 2.45-2.53
In: 0.1447 0.4624 0.8555  4 S 2.45-2.53
In: 0.1445 0.9626 0.8553  4 S 2.45-2.53
In: 0.3608 0.6137 0.6377  4 S 2.45-2.53
In: 0.3623 0.1123 0.6392  4 S 2.45-2.53
In: 0.3863 0.6392 0.1123  4 S 2.45-2.53
In: 0.4624 0.1447 0.0374  4 S 2.45-2.53
In: 0.5376 0.8553 0.9626  4 S 2.45-2.53
In: 0.6137 0.3608 0.8877  4 S 2.45-2.53
In: 0.6377 0.8877 0.3608  4 S 2.45-2.53
In: 0.6392 0.3863 0.3623  4 S 2.45-2.53
In: 0.8555 0.0374 0.1447  4 S 2.45-2.53
In: 0.8553 0.5376 0.1445  4 S 2.45-2.53
In: 0.8877 0.6377 0.6137  4 S 2.45-2.53
In: 0.9626 0.1445 0.5376  4 S 2.45-2.53
S: 0.0876 0.4131 0.0896  2 In 2.51
S: 0.0894 0.4105 0.5865  2 In 2.51
S: 0.0896 0.9098 0.0876  2 In 2.51
S: 0.0902 0.9104 0.5869  2 In 2.51
S: 0.1487 0.6627 0.8482  2 In 2.45-2.53
S: 0.1518 0.1596 0.8513  2 In 2.45-2.53
S: 0.1596 0.1518 0.3373  2 In 2.45-2.53
S: 0.1816 0.6461 0.3156  2 In 2.45-2.53
S: 0.3156 0.3567 0.1816  2 In 2.45-2.53
S: 0.3373 0.8513 0.1596  2 In 2.45-2.53
S: 0.3539 0.8184 0.6433  2 In 2.45-2.53
S: 0.3567 0.3156 0.6461  2 In 2.45-2.53
S: 0.4105 0.0894 0.4136  2 In 2.51
S: 0.4131 0.0876 0.9098  2 In 2.51
S: 0.4136 0.5865 0.4105  2 In 2.51
S: 0.4135 0.5864 0.9106  2 In 2.51
S: 0.5865 0.4136 0.0894  2 In 2.51
S: 0.5864 0.4135 0.5895  2 In 2.51
S: 0.5869 0.9124 0.0902  2 In 2.51
S: 0.5895 0.9106 0.5864  2 In 2.51
S: 0.6433 0.6844 0.3539  2 In 2.45-2.53
S: 0.6461 0.1816 0.3567  2 In 2.45-2.53
S: 0.6627 0.1487 0.8404  2 In 2.45-2.53
S: 0.6844 0.6433 0.8184  2 In 2.45-2.53
S: 0.8184 0.3539 0.6844  2 In 2.45-2.53
S: 0.8404 0.8482 0.6627  2 In 2.45-2.53
S: 0.8482 0.8404 0.1487  2 In 2.45-2.53
S: 0.8513 0.3373 0.1518  2 In 2.45-2.53
S: 0.9098 0.0896 0.4131  2 In 2.51
S: 0.9104 0.0902 0.9124  2 In 2.51
S: 0.9106 0.5895 0.4135  2 In 2.51
S: 0.9124 0.5869 0.9104  2 In 2.51

Calculated values
total magnetization = 0.000 μB per cell
formation energy without anion corrections = -1.0542 eV/atom


# 2
SrInS2 | PBE-GGA | relaxed

a b c (Å): 6.2581 6.2581 13.8272
angles (deg): 90.00 90.00 90.00
With the nearest neighbours (Å) after each atom.
Atoms (fractional coordinates):
Sr: 0.0000 0.0000 0.0000  4 S 2.92
Sr: 0.0000 0.5000 0.2500  4 S 2.92
Sr: 0.5000 0.0000 0.7500  4 S 2.92
Sr: 0.5000 0.5000 0.5000  4 S 2.92
In: 0.0000 0.0000 0.5000  4 S 2.71
In: 0.0000 0.5000 0.7500  4 S 2.71
In: 0.5000 0.0000 0.2500  4 S 2.71
In: 0.5000 0.5000 0.0000  4 S 2.71
S: 0.2194 0.2500 0.6250  2 In 2.71, 2 Sr 2.92
S: 0.2500 0.7194 0.8750  2 In 2.71, 2 Sr 2.92
S: 0.2500 0.7806 0.3750  2 In 2.71, 2 Sr 2.92
S: 0.2806 0.2500 0.1250  2 In 2.71, 2 Sr 2.92
S: 0.7194 0.7500 0.1250  2 In 2.71, 2 Sr 2.92
S: 0.7500 0.2194 0.3750  2 In 2.71, 2 Sr 2.92
S: 0.7500 0.2806 0.8750  2 In 2.71, 2 Sr 2.92
S: 0.7806 0.7500 0.6250  2 In 2.71, 2 Sr 2.92

Calculated values
total magnetization = 0.000 μB per cell
formation energy without anion corrections = -1.0603 eV/atom


# 3
Sr2InS3 | PBE-GGA | relaxed

a b c (Å): 3.9742 4.9619 16.2633
angles (deg): 90.00 90.00 90.00
With the nearest neighbours (Å) after each atom.
Atoms (fractional coordinates):
Sr: 0.0000 0.0000 0.1515  7 S 2.95-3.19
Sr: 0.0000 0.0000 0.8485  7 S 2.95-3.19
Sr: 0.5000 0.5000 0.3485  7 S 2.95-3.19
Sr: 0.5000 0.5000 0.6515  7 S 2.95-3.19
In: 0.0000 0.0000 0.5000  4 S 2.48-2.71
In: 0.5000 0.5000 0.0000  4 S 2.48-2.71
S: 0.0000 0.0000 0.3331  1 In 2.71, 1 Sr 2.95
S: 0.0000 0.0000 0.6669  1 In 2.71, 1 Sr 2.95
S: 0.0000 0.5000 0.5000  2 In 2.48
S: 0.5000 0.0000 0.0000  2 In 2.48
S: 0.5000 0.5000 0.1669  1 In 2.71, 1 Sr 2.95
S: 0.5000 0.5000 0.8331  1 In 2.71, 1 Sr 2.95

Calculated values
total magnetization = 0.000 μB per cell
formation energy without anion corrections = -1.4050 eV/atom


# 4
Sr2InS | PBE-GGA | relaxed

a b c (Å): 8.2991 8.2991 8.5930
angles (deg): 90.00 90.00 90.00
With the nearest neighbours (Å) after each atom.
Atoms (fractional coordinates):
Sr: 0.1968 0.7500 0.1250  2 S 2.85
Sr: 0.2500 0.1968 0.8750  2 S 2.85
Sr: 0.2500 0.3032 0.3750  2 S 2.85
Sr: 0.3032 0.7500 0.6250  2 S 2.85
Sr: 0.6968 0.2500 0.6250  2 S 2.85
Sr: 0.7500 0.6968 0.3750  2 S 2.85
Sr: 0.7500 0.8032 0.8750  2 S 2.85
Sr: 0.8032 0.2500 0.1250  2 S 2.85
In: 0.0000 0.0000 0.5000  4 Sr 3.43
In: 0.0000 0.5000 0.7500  4 Sr 3.43
In: 0.5000 0.0000 0.2500  4 Sr 3.43
In: 0.5000 0.5000 0.0000  4 Sr 3.43
S: 0.0000 0.0000 0.0000  4 Sr 2.85
S: 0.0000 0.5000 0.2500  4 Sr 2.85
S: 0.5000 0.0000 0.7500  4 Sr 2.85
S: 0.5000 0.5000 0.5000  4 Sr 2.85

Calculated values
total magnetization = 0.000 μB per cell
formation energy without anion corrections = -0.8897 eV/atom


# 5
Sr2InS | PBE-GGA | relaxed

a b c (Å): 7.8894 7.8894 7.8894
angles (deg): 90.00 90.00 90.00
With the nearest neighbours (Å) after each atom.
Atoms (fractional coordinates):
Sr: 0.2500 0.2500 0.2500  4 S 3.42, 4 In 3.42
Sr: 0.2500 0.2500 0.7500  4 S 3.42, 4 In 3.42
Sr: 0.2500 0.7500 0.2500  4 S 3.42, 4 In 3.42
Sr: 0.2500 0.7500 0.7500  4 S 3.42, 4 In 3.42
Sr: 0.7500 0.2500 0.2500  4 S 3.42, 4 In 3.42
Sr: 0.7500 0.2500 0.7500  4 S 3.42, 4 In 3.42
Sr: 0.7500 0.7500 0.2500  4 S 3.42, 4 In 3.42
Sr: 0.7500 0.7500 0.7500  4 S 3.42, 4 In 3.42
In: 0.0000 0.0000 0.0000  8 Sr 3.42
In: 0.0000 0.5000 0.5000  8 Sr 3.42
In: 0.5000 0.0000 0.5000  8 Sr 3.42
In: 0.5000 0.5000 0.0000  8 Sr 3.42
S: 0.0000 0.0000 0.5000  8 Sr 3.42
S: 0.0000 0.5000 0.0000  8 Sr 3.42
S: 0.5000 0.0000 0.0000  8 Sr 3.42
S: 0.5000 0.5000 0.5000  8 Sr 3.42

Calculated values
total magnetization = 0.000 μB per cell
formation energy without anion corrections = -0.6408 eV/atom


# 6
SrIn2S | PBE-GGA | relaxed

a b c (Å): 9.0086 9.0086 5.9073
angles (deg): 90.00 90.00 90.00
With the nearest neighbours (Å) after each atom.
Atoms (fractional coordinates):
Sr: 0.0000 0.0000 0.0000  2 S 2.95
Sr: 0.0000 0.5000 0.2500  2 S 2.95
Sr: 0.5000 0.0000 0.7500  2 S 2.95
Sr: 0.5000 0.5000 0.5000  2 S 2.95
In: 0.1928 0.2500 0.6250  2 S 2.94, 2 In 3.13
In: 0.2500 0.6928 0.8750  2 S 2.94, 2 In 3.13
In: 0.2500 0.8072 0.3750  2 S 2.94, 2 In 3.13
In: 0.3072 0.2500 0.1250  2 S 2.94, 2 In 3.13
In: 0.6928 0.7500 0.1250  2 S 2.94, 2 In 3.13
In: 0.7500 0.1928 0.3750  2 S 2.94, 2 In 3.13
In: 0.7500 0.3072 0.8750  2 S 2.94, 2 In 3.13
In: 0.8072 0.7500 0.6250  2 S 2.94, 2 In 3.13
S: 0.0000 0.0000 0.5000  4 In 2.94, 2 Sr 2.95
S: 0.0000 0.5000 0.7500  4 In 2.94, 2 Sr 2.95
S: 0.5000 0.0000 0.2500  4 In 2.94, 2 Sr 2.95
S: 0.5000 0.5000 0.0000  4 In 2.94, 2 Sr 2.95

Calculated values
total magnetization = 0.000 μB per cell
formation energy without anion corrections = -0.5261 eV/atom


# 7
Sr4InS5 | PBE-GGA | relaxed

a b c (Å): 7.3774 7.3774 7.3774
angles (deg): 99.39 99.39 132.34
With the nearest neighbours (Å) after each atom.
Atoms (fractional coordinates):
Sr: 0.1016 0.2994 0.4010  6 S 2.98-3.05
Sr: 0.2994 0.8984 0.1978  6 S 2.98-3.05
Sr: 0.7006 0.1016 0.8022  6 S 2.98-3.05
Sr: 0.8984 0.7006 0.5990  6 S 2.98-3.05
In: 0.5081 0.5081 0.0000  6 S 2.86-3.11
S: 0.2015 0.5988 0.8006  5 Sr 2.98-3.05, 1 In 3.00
S: 0.4009 0.2015 0.6027  5 Sr 2.98-3.05, 1 In 3.00
S: 0.5988 0.7982 0.3973  5 Sr 2.98-3.05, 1 In 3.00
S: 0.7982 0.4009 0.1994  5 Sr 2.98-3.05, 1 In 3.00
S: 0.9871 0.9871 0.0000  2 In 2.86-3.11, 4 Sr 3.02

Calculated values
total magnetization = 0.000 μB per cell
formation energy without anion corrections = -1.7648 eV/atom


# 8
SrInS2 | PBE-GGA | relaxed

a b c (Å): 4.9998 4.9998 5.7948
angles (deg): 90.00 90.00 120.00
With the nearest neighbours (Å) after each atom.
Atoms (fractional coordinates):
Sr: 0.0000 0.0000 0.0000  5 S 2.89-2.90
In: 0.3333 0.6667 0.5000  5 S 2.89-2.90
S: 0.0000 0.0000 0.5000  3 In 2.89, 2 Sr 2.90
S: 0.3333 0.6667 0.0000  3 Sr 2.89, 2 In 2.90

Calculated values
total magnetization = 0.000 μB per cell
formation energy without anion corrections = -1.1529 eV/atom